Entry 1:
DFT (PBE) results for La2SmReN4 after structural relaxation.

```
La2SmReN4
1.0
1.7679 -6.1031 0.0000
1.7679 6.1031 0.0000
0.0000 0.0000 12.3952
La Sm Re N
4 2 2 8
direct
0.1324 0.8676 0.5395
0.1324 0.8676 0.9605
0.8676 0.1324 0.0395
0.8676 0.1324 0.4605
0.3742 0.6258 0.7500
0.6258 0.3742 0.2500
0.3514 0.6486 0.2500
0.6486 0.3514 0.7500
0.0759 0.9241 0.7500
0.2276 0.7724 0.1417
0.2276 0.7724 0.3583
0.5000 0.5000 0.0000
0.5000 0.5000 0.5000
0.7724 0.2276 0.6417
0.7724 0.2276 0.8583
0.9241 0.0759 0.2500
```

Calculated values
The formation energy (no corrections) comes out at -0.849 eV/atom. The value obtained for the density of states at the Fermi level is 2.57 states/eV/f.u. The calculation puts the total magnetization at 0.0 μB per formula unit.



Entry 2:
DFT (PBE) results for Al2ZnPt after structural relaxation.

```
Al2ZnPt
1.0
4.0944 0.0000 0.0000
0.0000 4.0944 0.0000
0.0000 0.0000 7.1283
Al Zn Pt
4 2 2
direct
0.0000 0.5000 0.2500
0.0000 0.5000 0.7500
0.5000 0.0000 0.2500
0.5000 0.0000 0.7500
0.0000 0.0000 0.0000
0.5000 0.5000 0.5000
0.0000 0.0000 0.5000
0.5000 0.5000 0.0000
```

Calculated values
The value obtained for the formation energy is -465 meV/atom. The value obtained for the density of states at the Fermi level is 1.81 states/eV/f.u. The calculation puts the total magnetization at 0.0 μB per formula unit.



Entry 3:
DFT (PBE) results for NpSb2Pd5 after structural relaxation.

```
NpSb2Pd5
1.0
4.0236 0.0000 0.0000
0.0000 7.2720 0.0000
0.0000 0.0000 10.8094
Np Sb Pd
2 4 10
direct
0.0000 0.0000 0.0000
0.5000 0.5000 0.5000
0.0000 0.5000 0.2454
0.0000 0.5000 0.7546
0.5000 0.0000 0.2546
0.5000 0.0000 0.7454
0.0000 0.1989 0.3710
0.0000 0.1989 0.6290
0.0000 0.5000 0.0000
0.0000 0.8011 0.3710
0.0000 0.8011 0.6290
0.5000 0.0000 0.5000
0.5000 0.3011 0.1290
0.5000 0.3011 0.8710
0.5000 0.6989 0.1290
0.5000 0.6989 0.8710
```

Calculated values
The formation energy (no corrections) comes out at -0.340 eV/atom. The value obtained for the density of states at the Fermi level is 12.27 states/eV/f.u. The calculation puts the total magnetization at 4.2 μB per formula unit.



Entry 4:
DFT (PBE) results for La2PaH12Ru3 after structural relaxation.

```
La2PaH12Ru3
1.0
3.3158 1.9144 4.7484
-3.3158 1.9144 4.7484
0.0000 -3.8288 4.7484
La Pa H Ru
2 1 12 3
direct
0.1166 0.1166 0.1166
0.8834 0.8834 0.8834
0.5000 0.5000 0.5000
0.0865 0.6353 0.6353
0.2052 0.2052 0.6323
0.2052 0.6323 0.2052
0.3647 0.3647 0.9135
0.3647 0.9135 0.3647
0.3677 0.7948 0.7948
0.6323 0.2052 0.2052
0.6353 0.0865 0.6353
0.6353 0.6353 0.0865
0.7948 0.3677 0.7948
0.7948 0.7948 0.3677
0.9135 0.3647 0.3647
0.0000 0.5000 0.5000
0.5000 0.0000 0.5000
0.5000 0.5000 0.0000
```

Calculated values
The value obtained for the density of states at the Fermi level is 11.01 states/eV/f.u. Its total energy is -5.131 eV per atom. The calculation puts the total magnetization at 1.4 μB per formula unit.



Entry 5:
DFT (PBE) results for Dy7Sc12In after structural relaxation.

```
Dy7Sc12In
1.0
5.7672 3.3297 4.7964
-5.7672 3.3297 4.7964
0.0000 -6.6594 4.7964
Dy Sc In
7 12 1
direct
0.0000 0.0000 0.0000
0.1145 0.3478 0.4494
0.3478 0.4494 0.1145
0.4494 0.1145 0.3478
0.5506 0.8855 0.6522
0.6522 0.5506 0.8855
0.8855 0.6522 0.5506
0.0013 0.3595 0.8751
0.1249 0.9987 0.6405
0.2342 0.6311 0.7541
0.2459 0.7658 0.3689
0.3595 0.8751 0.0013
0.3689 0.2459 0.7658
0.6311 0.7541 0.2342
0.6405 0.1249 0.9987
0.7541 0.2342 0.6311
0.7658 0.3689 0.2459
0.8751 0.0013 0.3595
0.9987 0.6405 0.1249
0.5000 0.5000 0.5000
```

Calculated values
The value obtained for the formation energy is 166 meV/atom. The value obtained for the density of states at the Fermi level is 44.07 states/eV/f.u. The calculation puts the total magnetization at 0.0 μB per formula unit.



Entry 6:
DFT (PBE) results for CeUNiIr after structural relaxation.

```
CeUNiIr
1.0
6.5379 0.0000 0.0000
0.0000 6.5379 0.0000
0.0000 0.0000 6.5379
Ce U Ni Ir
4 4 4 4
direct
0.0000 0.0000 0.0000
0.0000 0.5000 0.5000
0.5000 0.0000 0.5000
0.5000 0.5000 0.0000
0.2500 0.2500 0.2500
0.2500 0.7500 0.7500
0.7500 0.2500 0.7500
0.7500 0.7500 0.2500
0.2500 0.2500 0.7500
0.2500 0.7500 0.2500
0.7500 0.2500 0.2500
0.7500 0.7500 0.7500
0.0000 0.0000 0.5000
0.0000 0.5000 0.0000
0.5000 0.0000 0.0000
0.5000 0.5000 0.5000
```

Calculated values
The value obtained for the formation energy is -431 meV/atom. The value obtained for the density of states at the Fermi level is 7.14 states/eV/f.u. The calculation puts the total magnetization at 1.1 μB per formula unit.